Computed, not measured: crystalline Na2AlIr at its relaxed geometry at the PBE-GGA level of DFT.

Values from the calculation:
M_tot, μB per formula unit: 0.000
Calculated total energy, eV per atom: -3.235
Theoretical density, g cm⁻³: 5.869

abc: 6.695 6.695 6.695
angles: 90.00 90.00 90.00
Space group Fm-3m (No. 225)
Inequivalent atoms, fractional coordinates:
Na  0.250  0.250  0.250 (multiplicity 8)
Al  0.000  0.000  0.000 (multiplicity 4)
Ir  0.000  0.000  0.500 (multiplicity 4)